[1]
Li3Ce3DySe8 | PBE | optimized geometry

Lattice parameters (Å, degrees): 8.0575 8.0575 8.0575 62.77 62.77 62.77
Element x y z (fractional)
Li 0.0000 0.5000 0.5000
Li 0.5000 0.0000 0.5000
Li 0.5000 0.5000 0.0000
Ce 0.0000 0.0000 0.5000
Ce 0.0000 0.5000 0.0000
Ce 0.5000 0.0000 0.0000
Dy 0.5000 0.5000 0.5000
Se 0.2531 0.2531 0.2531
Se 0.2532 0.2532 0.7442
Se 0.2532 0.7442 0.2532
Se 0.2558 0.7468 0.7468
Se 0.7442 0.2532 0.2532
Se 0.7468 0.2558 0.7468
Se 0.7468 0.7468 0.2558
Se 0.7469 0.7469 0.7469

Summary:
- ΔE_f (raw): -1.63 eV/atom
- SG: R-3m, No. 166


[2]
Na2MoCl6 | PBE | optimized geometry

Lattice parameters (Å, degrees): 6.7371 7.0651 11.4324 90.00 121.50 90.00
Element x y z (fractional)
Na 0.1818 0.1017 0.2213
Na 0.1818 0.3983 0.7213
Na 0.8182 0.6017 0.2787
Na 0.8182 0.8983 0.7787
Mo 0.5000 0.0000 0.0000
Mo 0.5000 0.5000 0.5000
Cl 0.1542 0.1820 0.9412
Cl 0.1542 0.3180 0.4412
Cl 0.2741 0.7163 0.9318
Cl 0.2741 0.7837 0.4318
Cl 0.4167 0.0422 0.7709
Cl 0.4167 0.4578 0.2709
Cl 0.5833 0.5422 0.7291
Cl 0.5833 0.9578 0.2291
Cl 0.7259 0.2163 0.5682
Cl 0.7259 0.2837 0.0682
Cl 0.8458 0.6820 0.5588
Cl 0.8458 0.8180 0.0588

Summary:
- ΔE_f (raw): -1.28 eV/atom
- Energy above the most stable polymorph in this dataset: 0 meV/atom
- SG: P2_1/c, No. 14


[3]
Li3ScCu | PBE | optimized geometry

Lattice parameters (Å, degrees): 4.5759 4.5759 4.5759 90.00 90.00 90.00
Element x y z (fractional)
Li 0.0000 0.0000 0.5000
Li 0.0000 0.5000 0.0000
Li 0.5000 0.0000 0.0000
Sc 0.5000 0.5000 0.5000
Cu 0.0000 0.0000 0.0000

Summary:
- Energy above the most stable polymorph in this dataset: 0 meV/atom
- SG: Pm-3m, No. 221


[4]
LaAlSb2 | PBE | optimized geometry

Lattice parameters (Å, degrees): 4.3065 4.3065 6.4605 90.00 90.00 90.00
Element x y z (fractional)
La 0.0000 0.0000 0.0000
Al 0.5000 0.5000 0.6626
Sb 0.0000 0.0000 0.5167
Sb 0.5000 0.5000 0.1204

Summary:
- ΔE_f (raw): -0.40 eV/atom
- SG: P4mm, No. 99


[5]
TaZnHgRu2 | PBE | optimized geometry

Lattice parameters (Å, degrees): 4.7036 4.7036 5.0190 90.00 90.00 90.00
Element x y z (fractional)
Ta 0.0000 0.0000 0.0000
Zn 0.0000 0.0000 0.5000
Hg 0.5000 0.5000 0.5000
Ru 0.0000 0.5000 0.0000
Ru 0.5000 0.0000 0.0000

Summary:
- SG: P4/mmm, No. 123


[6]
Pr2Nd5Sn5 | PBE | optimized geometry

Lattice parameters (Å, degrees): 7.7962 7.7962 13.1841 106.75 106.75 33.47
Element x y z (fractional)
Pr 0.0479 0.0479 0.2830
Pr 0.9521 0.9521 0.7170
Nd 0.2684 0.2684 0.1515
Nd 0.3413 0.3413 0.4572
Nd 0.5000 0.5000 0.0000
Nd 0.6587 0.6587 0.5428
Nd 0.7316 0.7316 0.8485
Sn 0.0000 0.0000 0.5000
Sn 0.1179 0.1179 0.9290
Sn 0.2967 0.2967 0.6997
Sn 0.7033 0.7033 0.3003
Sn 0.8821 0.8821 0.0710

Summary:
- SG: C2/m, No. 12


Number 1: total energy -80.54 eV per cell. Number 2: total energy -72.06 eV per cell. Number 3: total energy -14.52 eV per cell. Number 4: total energy -18.53 eV per cell. Number 5: total energy -25.74 eV per cell. Number 6: total energy -59.93 eV per cell.